Entry from the Alexandria database: an optimized crystal structure of NdAlAg2 (PBE-GGA).

Structure (POSCAR):
```
NdAlAg2
1.0
8.473 0.000 0.000
0.000 7.171 0.000
0.000 0.000 5.746
Nd Al Ag
4 4 8
Direct
0.055 0.250 0.147
0.445 0.750 0.647
0.555 0.250 0.353
0.945 0.750 0.853
0.111 0.750 0.348
0.389 0.250 0.848
0.611 0.750 0.152
0.889 0.250 0.652
0.176 0.050 0.616
0.176 0.450 0.616
0.324 0.550 0.116
0.324 0.950 0.116
0.676 0.050 0.884
0.676 0.450 0.884
0.824 0.550 0.384
0.824 0.950 0.384
```

Results
V = 349 Å³ per cell
uncorrected energy = -3.86 eV per atom
ΔH_f (0 K) = -29.18 kJ/mol of atoms

***

Entry from the Alexandria database: an optimized crystal structure of NdAlAg2 (PBE-GGA).

Structure (POSCAR):
```
NdAlAg2
1.0
7.142 0.000 0.000
0.000 4.649 0.000
0.000 0.000 10.452
Nd Al Ag
4 4 8
Direct
0.236 0.250 0.163
0.264 0.750 0.663
0.736 0.250 0.337
0.764 0.750 0.837
0.082 0.250 0.855
0.418 0.750 0.355
0.582 0.250 0.645
0.918 0.750 0.145
0.043 0.750 0.391
0.199 0.750 0.958
0.301 0.250 0.458
0.457 0.250 0.891
0.543 0.750 0.109
0.699 0.750 0.542
0.801 0.250 0.042
0.957 0.250 0.609
```

Results
V = 347 Å³ per cell
uncorrected energy = -3.87 eV per atom
ΔH_f (0 K) = -30.35 kJ/mol of atoms

***

Entry from the Alexandria database: an optimized crystal structure of NdAlAg (PBE-GGA).

Structure (POSCAR):
```
NdAlAg
1.0
-1.690 1.690 5.878
1.690 -1.690 5.878
1.690 1.690 -5.878
Nd Al Ag
1 1 1
Direct
0.000 0.000 0.000
0.687 0.687 0.000
0.305 0.305 0.000
```

Results
V = 67 Å³ per cell
uncorrected energy = -4.00 eV per atom
ΔH_f (0 K) = -20.92 kJ/mol of atoms

***

Entry from the Alexandria database: an optimized crystal structure of Nd2Al3Ag5 (PBE-GGA).

Structure (POSCAR):
```
Nd2Al3Ag5
1.0
-5.607 6.159 3.097
5.607 -6.159 3.097
5.607 6.159 -3.097
Nd Al Ag
4 6 10
Direct
0.131 0.232 0.364
0.369 0.732 0.101
0.631 0.268 0.899
0.869 0.768 0.636
0.132 0.880 0.011
0.250 0.750 0.500
0.368 0.380 0.748
0.632 0.620 0.252
0.750 0.250 0.500
0.868 0.120 0.989
0.015 0.750 0.265
0.105 0.654 0.759
0.250 0.250 0.000
0.395 0.154 0.549
0.485 0.750 0.735
0.515 0.250 0.265
0.605 0.846 0.451
0.750 0.750 0.000
0.895 0.346 0.241
0.985 0.250 0.735
```

Results
V = 428 Å³ per cell
uncorrected energy = -3.78 eV per atom
ΔH_f (0 K) = -26.44 kJ/mol of atoms